La3InIr: optimized geometry, GGA-PBE.

abc: 9.606 6.358 10.465
angles: 90.00 109.95 90.00
Space group P2_1/c (No. 14)
One atom of each set of equivalent atoms:
La  0.021  0.242  0.242 [4 per cell]
La  0.197  0.586  0.052 [4 per cell]
La  0.368  0.067  0.238 [4 per cell]
In  0.348  0.544  0.396 [4 per cell]
Ir  0.132  0.098  0.007 [4 per cell]

Results
ΔH_f (0 K): -2.00 eV/f.u.
M_tot: 0.00 μB/f.u.
Distance to the lowest polymorph of the same formula: 0.158 eV/atom
Density: 8001 kg/m3

***

La3InIr: optimized geometry, GGA-PBE.

abc: 6.285 6.285 18.933
angles: 90.00 90.00 90.00
Space group I-4m2 (No. 119)
One atom of each set of equivalent atoms:
La  0.000  0.000  0.225 [4 per cell]
La  0.000  0.252  0.613 [8 per cell]
In  0.000  0.500  0.147 [4 per cell]
Ir  0.000  0.000  0.500 [2 per cell]
Ir  0.000  0.500  0.750 [2 per cell]

Results
ΔH_f (0 K): -0.15 eV/f.u.
M_tot: 0.00 μB/f.u.
Distance to the lowest polymorph of the same formula: 0.526 eV/atom
Density: 6429 kg/m3

***

LaIn2Ir2: optimized geometry, GGA-PBE.

abc: 8.107 8.107 3.135
angles: 90.00 90.00 90.00
Space group P4/mbm (No. 127)
One atom of each set of equivalent atoms:
La  0.000  0.000  0.000 [2 per cell]
In  0.133  0.367  0.500 [4 per cell]
Ir  0.165  0.665  0.000 [4 per cell]

Results
ΔH_f (0 K): -1.38 eV/f.u.
M_tot: 0.00 μB/f.u.
Density: 12139 kg/m3

***

La3InIr: optimized geometry, GGA-PBE.

abc: 5.4261 5.4261 11.4483
angles: 90.00 90.00 120.00
Space group P6_3/mmc (No. 194)
One atom of each set of equivalent atoms:
La  0.0000  0.0000  0.2500 [2 per cell]
La  0.3333  0.6667  0.0683 [4 per cell]
In  0.3333  0.6667  0.7500 [2 per cell]
Ir  0.0000  0.0000  0.0000 [2 per cell]

Results
ΔH_f (0 K): -2.45 eV/f.u.
M_tot: 0.00 μB/f.u.
Distance to the lowest polymorph of the same formula: 0.068 eV/atom
Density: 8234 kg/m3

***

LiLa2InIr: optimized geometry, GGA-PBE.

abc: 5.572 5.572 5.255
angles: 90.00 90.00 90.00
Space group P4/mmm (No. 123)
One atom of each set of equivalent atoms:
Li  0.000  0.000  0.000 [1 per cell]
La  0.000  0.500  0.500 [2 per cell]
In  0.500  0.500  0.000 [1 per cell]
Ir  0.500  0.500  0.500 [1 per cell]

Results
ΔH_f (0 K): -1.62 eV/f.u.
M_tot: 0.00 μB/f.u.
Distance to the lowest polymorph of the same formula: 0.040 eV/atom
Density: 6023 kg/m3

***

LiLa2InIr: optimized geometry, GGA-PBE.

abc: 5.530 5.530 4.882
angles: 90.00 90.00 90.00
Space group P4/mmm (No. 123)
One atom of each set of equivalent atoms:
Li  0.000  0.000  0.000 [1 per cell]
La  0.000  0.500  0.500 [2 per cell]
In  0.500  0.500  0.000 [1 per cell]
Ir  0.000  0.000  0.500 [1 per cell]

Results
ΔH_f (0 K): -1.82 eV/f.u.
M_tot: 0.00 μB/f.u.
Distance to the lowest polymorph of the same formula: 0.000 eV/atom
Density: 6581 kg/m3

***

LaLuInIr: optimized geometry, GGA-PBE.

abc: 7.302 7.302 7.302
angles: 90.00 90.00 90.00
Space group F-43m (No. 216)
One atom of each set of equivalent atoms:
La  0.000  0.000  0.000 [4 per cell]
Lu  0.000  0.000  0.500 [4 per cell]
In  0.250  0.250  0.750 [4 per cell]
Ir  0.250  0.250  0.250 [4 per cell]

Results
ΔH_f (0 K): -1.88 eV/f.u.
M_tot: 0.00 μB/f.u.
Density: 10594 kg/m3

***

NaLaIn2Ir: optimized geometry, GGA-PBE.

abc: 5.306 5.306 5.368
angles: 90.00 90.00 90.00
Space group P4/mmm (No. 123)
One atom of each set of equivalent atoms:
Na  0.000  0.000  0.000 [1 per cell]
La  0.500  0.500  0.000 [1 per cell]
In  0.000  0.500  0.500 [2 per cell]
Ir  0.500  0.500  0.500 [1 per cell]

Results
ΔH_f (0 K): -1.59 eV/f.u.
M_tot: 0.00 μB/f.u.
Density: 6414 kg/m3

***

La6In2NiIr: optimized geometry, GGA-PBE.

abc: 7.611 7.650 7.788
angles: 118.95 118.71 90.19
Space group P-1 (No. 2)
One atom of each set of equivalent atoms:
La  0.173  0.179  0.480 [2 per cell]
La  0.250  0.729  0.002 [2 per cell]
La  0.321  0.693  0.519 [2 per cell]
In  0.246  0.254  0.001 [2 per cell]
Ni  0.000  0.500  0.500 [1 per cell]
Ir  0.500  0.000  0.500 [1 per cell]

Results
ΔH_f (0 K): -3.93 eV/f.u.
M_tot: 0.00 μB/f.u.
Density: 6588 kg/m3

***

LaIn2IrO8: optimized geometry, GGA-PBE.

abc: 4.945 6.847 4.965
angles: 90.00 90.47 90.00
Space group P2/m (No. 10)
One atom of each set of equivalent atoms:
La  0.000  0.000  0.000 [1 per cell]
In  0.500  0.257  0.500 [2 per cell]
Ir  0.000  0.500  0.000 [1 per cell]
O  0.191  0.298  0.814 [4 per cell]
O  0.281  0.500  0.286 [2 per cell]
O  0.318  0.000  0.323 [2 per cell]

Results
ΔE_f (raw): -1.470 eV per atom
M_tot: 2.20 μB/f.u.
Density: 6804 kg/m3

***

La6In2IrOs: optimized geometry, GGA-PBE.

abc: 7.703 7.726 7.832
angles: 119.44 118.98 90.06
Space group P-1 (No. 2)
One atom of each set of equivalent atoms:
La  0.172  0.304  0.473 [2 per cell]
La  0.264  0.274  0.004 [2 per cell]
La  0.323  0.819  0.510 [2 per cell]
In  0.254  0.744  0.000 [2 per cell]
Ir  0.000  0.000  0.500 [1 per cell]
Os  0.500  0.500  0.500 [1 per cell]

Results
ΔH_f (0 K): -3.86 eV/f.u.
M_tot: 0.00 μB/f.u.
Density: 7119 kg/m3

***

La2InIrOs: optimized geometry, GGA-PBE.

abc: 5.773 5.773 4.733
angles: 90.00 90.00 90.00
Space group P4/mmm (No. 123)
One atom of each set of equivalent atoms:
La  0.000  0.500  0.000 [2 per cell]
In  0.000  0.000  0.000 [1 per cell]
Ir  0.000  0.000  0.500 [1 per cell]
Os  0.500  0.500  0.500 [1 per cell]

Results
ΔH_f (0 K): 6.78 eV/f.u.
M_tot: 0.00 μB/f.u.
Density: 8160 kg/m3